# LaTl2Re

A crystal of LaTl2Re relaxed with PBEsol (meta-GGA SCAN, the Alexandria database).

Summary:
**Offset from the most stable computed form**: 0.0246 eV per atom

Unit cell a=3.486 b=3.486 c=7.932 alpha=90.00 beta=90.00 gamma=90.00
Sites, in units of the cell vectors:
La: 0.000 0.000 0.000
Tl: 0.000 0.000 0.409
Tl: 0.500 0.500 0.673
Re: 0.500 0.500 0.222

---

# LaTl2Re

A crystal of LaTl2Re relaxed with PBEsol (meta-GGA SCAN, the Alexandria database).

Summary:
**Offset from the most stable computed form**: 0.0000 eV per atom

Unit cell a=4.654 b=4.654 c=8.329 alpha=90.00 beta=90.00 gamma=90.00
Sites, in units of the cell vectors:
La: 0.000 0.000 0.000
La: 0.500 0.500 0.500
Tl: 0.000 0.500 0.250
Tl: 0.000 0.500 0.750
Tl: 0.500 0.000 0.250
Tl: 0.500 0.000 0.750
Re: 0.000 0.000 0.500
Re: 0.500 0.500 0.000

---

# La2TlRe

A crystal of La2TlRe relaxed with PBEsol (meta-GGA SCAN, the Alexandria database).

Unit cell a=3.408 b=3.409 c=8.984 alpha=90.00 beta=91.28 gamma=90.00
Sites, in units of the cell vectors:
La: 0.021 0.000 0.300
La: 0.979 0.000 0.700
Tl: 0.500 0.500 0.000
Re: 0.500 0.500 0.500

---

DFT formation energy? In order: 0.418, 0.393, -0.035 eV per atom.